(1)
Below is an optimized crystal structure of PmInB4, with properties calculated at the GGA-PBE level.

E above lowest polymorph in meV/atom: 156
Spin magnetization in μB/atom: 0.002
Final energy in eV/f.u.: -33.42

Unit cell a=3.231 b=3.231 c=7.951 alpha=90.00 beta=90.00 gamma=120.00
Fractional positions:
B1 0.667 0.333 0.261
B2 0.333 0.667 0.261
B3 0.667 0.333 0.739
B4 0.333 0.667 0.739
In1 0.000 0.000 0.500
Pm1 0.000 0.000 0.000

=====

(2)
Below is an optimized crystal structure of PmInB4, with properties calculated at the GGA-PBE level.

E above lowest polymorph in meV/atom: 0
Spin magnetization in μB/atom: 0.000
Final energy in eV/f.u.: -34.36

Unit cell a=5.273 b=5.273 c=5.273 alpha=144.10 beta=118.68 gamma=73.15
Fractional positions:
B1 0.566 0.240 0.326
B2 0.086 0.760 0.326
B3 0.914 0.240 0.674
B4 0.434 0.760 0.674
In1 0.000 0.000 0.000
Pm1 0.500 0.500 0.000

=====

(3)
Below is an optimized crystal structure of PmInB, with properties calculated at the GGA-PBE level.

E above lowest polymorph in meV/atom: 912
Spin magnetization in μB/atom: 0.000
Final energy in eV/f.u.: -11.33

Unit cell a=4.981 b=4.981 c=4.981 alpha=60.00 beta=60.00 gamma=60.00
Fractional positions:
B1 0.250 0.250 0.250
In1 0.750 0.750 0.750
Pm1 0.000 0.000 0.000

=====

(4)
Below is an optimized crystal structure of PrInB, with properties calculated at the GGA-PBE level.

E above lowest polymorph in meV/atom: 809
Spin magnetization in μB/atom: 0.001
Final energy in eV/f.u.: -11.54

Unit cell a=4.793 b=4.793 c=4.793 alpha=60.00 beta=60.00 gamma=60.00
Fractional positions:
B1 0.250 0.250 0.250
In1 0.000 0.000 0.000
Pr1 0.750 0.750 0.750

=====

Q: Which of these has the highest final energy?
A: PmInB

=====

Q: Which value of E above lowest polymorph does entry 3 give?
A: 912 meV/atom

=====

Q: Look up the spin magnetization of the second one.
A: 0.000 μB/atom